VASP calculation (PBE-GGA) on crystalline Nd2AlTl at its relaxed geometry.

Unit cell a=3.782 b=3.782 c=7.825 alpha=90.00 beta=90.00 gamma=90.00
Positions (direct):
Al1 0.500 0.500 0.000
Tl1 0.500 0.500 0.500
Nd1 0.000 0.000 0.763
Nd2 0.000 0.000 0.237

E_form = -35.2 kJ/mol of atoms

***

VASP calculation (PBE-GGA) on crystalline AsP2SO at its relaxed geometry.

Unit cell a=4.818 b=4.818 c=3.636 alpha=90.00 beta=90.00 gamma=90.00
Positions (direct):
O1 0.000 0.000 0.500
P1 0.500 0.000 0.000
P2 0.000 0.500 0.000
S1 0.500 0.500 0.500
As1 0.000 0.000 0.000

Offset from the most stable computed form = 111.5 meV per atom
ΔE_f (raw) = 0.60 eV per atom

***

VASP calculation (PBE-GGA) on crystalline PrMgAg at its relaxed geometry.

Unit cell a=3.537 b=4.992 c=4.992 alpha=120.00 beta=90.00 gamma=90.00
Positions (direct):
Mg1 0.167 0.000 0.000
Ag1 0.166 0.333 0.667
Pr1 0.667 0.667 0.333

E_form = -18.5 kJ/mol of atoms

***

VASP calculation (PBE-GGA) on crystalline ScTa2Nb at its relaxed geometry.

Unit cell a=3.362 b=3.362 c=6.936 alpha=90.00 beta=90.00 gamma=90.00
Positions (direct):
Ta1 0.000 0.000 0.783
Ta2 0.000 0.000 0.217
Nb1 0.500 0.500 0.000
Sc1 0.500 0.500 0.500

Offset from the most stable computed form = 0.0 meV per atom
E_form = 13.6 kJ/mol of atoms

***

VASP calculation (PBE-GGA) on crystalline ZrCuNi at its relaxed geometry.

Unit cell a=2.885 b=2.889 c=12.826 alpha=90.00 beta=90.00 gamma=119.96
Positions (direct):
Ni1 0.111 0.222 0.830
Ni2 0.111 0.222 0.170
Cu1 0.778 0.556 0.318
Cu2 0.778 0.556 0.682
Zr1 0.443 0.886 0.000
Zr2 0.446 0.891 0.500

Offset from the most stable computed form = 419.6 meV per atom
E_form = 12.7 kJ/mol of atoms

***

VASP calculation (PBE-GGA) on crystalline Nb2Ge2Sb at its relaxed geometry.

Unit cell a=7.373 b=7.373 c=3.499 alpha=90.00 beta=90.00 gamma=90.00
Positions (direct):
Ge1 0.636 0.864 0.500
Ge2 0.136 0.636 0.500
Ge3 0.364 0.136 0.500
Ge4 0.864 0.364 0.500
Sb1 0.000 0.000 0.000
Sb2 0.500 0.500 0.000
Nb1 0.346 0.846 0.000
Nb2 0.154 0.346 0.000
Nb3 0.654 0.154 0.000
Nb4 0.846 0.654 0.000

Offset from the most stable computed form = 53.8 meV per atom
ΔE_f (raw) = -0.14 eV per atom

***

VASP calculation (PBE-GGA) on crystalline TiSiHg3 at its relaxed geometry.

Unit cell a=4.979 b=4.979 c=4.979 alpha=90.00 beta=90.00 gamma=90.00
Positions (direct):
Si1 0.000 0.000 0.000
Ti1 0.500 0.500 0.500
Hg1 0.000 0.000 0.500
Hg2 0.000 0.500 0.000
Hg3 0.500 0.000 0.000

Offset from the most stable computed form = 0.0 meV per atom
ΔE_f (raw) = 0.81 eV per atom

***

VASP calculation (PBE-GGA) on crystalline Th8Te4OsRu3 at its relaxed geometry.

Unit cell a=8.348 b=9.090 c=8.348 alpha=117.34 beta=120.00 gamma=90.00
Positions (direct):
Th1 0.767 0.301 0.534
Th2 0.267 0.301 0.034
Th3 0.233 0.699 0.466
Th4 0.733 0.699 0.466
Th5 0.233 0.699 0.966
Th6 0.733 0.699 0.966
Th7 0.767 0.301 0.034
Th8 0.267 0.301 0.534
Os1 0.000 0.500 0.000
Te1 0.000 0.000 0.000
Te2 0.500 0.000 0.000
Te3 0.500 0.000 0.500
Te4 0.000 0.000 0.500
Ru1 0.500 0.500 0.500
Ru2 0.500 0.500 0.000
Ru3 0.000 0.500 0.500

ΔE_f (raw) = -0.88 eV per atom

***

VASP calculation (PBE-GGA) on crystalline Pm5ScTl2 at its relaxed geometry.

Unit cell a=5.447 b=5.447 c=20.302 alpha=90.00 beta=90.00 gamma=120.00
Positions (direct):
Pm1 0.667 0.333 0.056
Pm2 0.000 0.000 0.338
Pm3 0.333 0.667 0.556
Pm4 0.667 0.333 0.444
Pm5 0.000 0.000 0.838
Pm6 0.333 0.667 0.944
Pm7 0.000 0.000 0.662
Pm8 0.333 0.667 0.750
Pm9 0.000 0.000 0.162
Pm10 0.667 0.333 0.250
Tl1 0.667 0.333 0.897
Tl2 0.667 0.333 0.603
Tl3 0.333 0.667 0.397
Tl4 0.333 0.667 0.103
Sc1 0.333 0.667 0.250
Sc2 0.667 0.333 0.750

E_form = -8.9 kJ/mol of atoms